U2OsC2 (GGA-PBE, optimized geometry); crystal system = tetragonal; VASP energy = -10.65 eV per atom
1.0
-1.726 1.726 6.251
1.726 -1.726 6.251
1.726 1.726 -6.251
U Os C
2 1 2
direct
0.145 0.145 0.000 U
0.855 0.855 0.000 U
0.500 0.500 0.000 Os
0.329 0.329 0.000 C
0.671 0.671 0.000 C